This record from the Alexandria database describes Zn2NiH2 after structural relaxation. The functional is PBE.

Unit cell a=2.7845 b=2.7845 c=12.1160 alpha=90.00 beta=90.00 gamma=90.00
Last column: nearest neighbours and their distance in Å.
Positions (direct):
Zn 0.0000 0.0000 0.1358  4 H 1.96
Zn 0.0000 0.0000 0.8642  4 H 1.96
Zn 0.5000 0.5000 0.3642  4 H 1.96
Zn 0.5000 0.5000 0.6358  4 H 1.96
Ni 0.0000 0.0000 0.5000  8 Zn 2.57, 4 Ni 2.78
Ni 0.5000 0.5000 0.0000  8 Zn 2.57, 4 Ni 2.78
H 0.0000 0.5000 0.2500  4 Zn 1.96, 4 H 1.97
H 0.0000 0.5000 0.7500  4 Zn 1.96, 4 H 1.97
H 0.5000 0.0000 0.2500  4 Zn 1.96, 4 H 1.97
H 0.5000 0.0000 0.7500  4 Zn 1.96, 4 H 1.97

relative energy among the computed polymorphs	0.80	eV per formula unit
total energy	-27.7	eV for the cell shown

This record from the Alexandria database describes ZnNi4H after structural relaxation. The functional is PBE.

Unit cell a=6.0157 b=6.0157 c=4.9538 alpha=105.30 beta=105.30 gamma=43.09
Last column: nearest neighbours and their distance in Å.
Positions (direct):
Zn 0.0908 0.9092 0.7500  10 Ni 2.50-2.57, 2 Zn 2.60
Zn 0.9092 0.0908 0.2500  10 Ni 2.50-2.57, 2 Zn 2.60
Ni 0.1126 0.2898 0.6522  2 H 1.80-1.83
Ni 0.2898 0.1126 0.1522  2 H 1.80-1.83
Ni 0.3195 0.4842 0.0527  1 H 1.80
Ni 0.4842 0.3195 0.5527  1 H 1.80
Ni 0.5158 0.6805 0.4473  1 H 1.80
Ni 0.6805 0.5158 0.9473  1 H 1.80
Ni 0.7102 0.8874 0.8478  2 H 1.80-1.83
Ni 0.8874 0.7102 0.3478  2 H 1.80-1.83
H 0.0000 0.5000 0.0000  6 Ni 1.80-1.83
H 0.5000 0.0000 0.5000  6 Ni 1.80-1.83

relative energy among the computed polymorphs	0.00	eV per formula unit
total energy	-56.5	eV for the cell shown

This record from the Alexandria database describes ZnNi8H4 after structural relaxation. The functional is PBE.

Unit cell a=4.8371 b=4.8371 c=7.2360 alpha=119.82 beta=119.82 gamma=59.66
Last column: nearest neighbours and their distance in Å.
Positions (direct):
Zn 0.0000 0.0000 0.0000  6 Ni 2.35-2.37
Ni 0.0073 0.4994 0.6814  3 H 1.74-1.79
Ni 0.0090 0.0090 0.6812  3 H 1.74-1.80
Ni 0.3492 0.3492 0.0568  9 Ni 2.58-2.87, 3 Zn 2.72-2.86
Ni 0.4994 0.0073 0.6814  3 H 1.74-1.79
Ni 0.5006 0.9927 0.3186  3 H 1.74-1.79
Ni 0.6508 0.6508 0.9432  9 Ni 2.58-2.87, 3 Zn 2.72-2.86
Ni 0.9910 0.9910 0.3188  3 H 1.74-1.80
Ni 0.9927 0.5006 0.3186  3 H 1.74-1.79
H 0.2487 0.7513 0.5000  4 Ni 1.74
H 0.2531 0.2531 0.4958  5 Ni 1.75-1.80
H 0.7469 0.7469 0.5042  5 Ni 1.75-1.80
H 0.7513 0.2487 0.5000  4 Ni 1.74

total energy	-59.4	eV for the cell shown

This record from the Alexandria database describes ZnNi3H after structural relaxation. The functional is PBE.

Unit cell a=5.6471 b=5.6471 c=5.6471 alpha=129.86 beta=129.86 gamma=73.63
Last column: nearest neighbours and their distance in Å.
Positions (direct):
Zn 0.1399 0.1399 0.0000  8 Ni 2.40-2.68, 1 Zn 2.53, 2 H 2.59
Zn 0.8601 0.8601 0.0000  8 Ni 2.40-2.68, 1 Zn 2.53, 2 H 2.59
Ni 0.1193 0.6193 0.5000  3 Ni 2.36-2.48, 2 Zn 2.40, 2 H 2.62
Ni 0.1271 0.3786 0.7485  2 H 1.63-1.66
Ni 0.3807 0.8807 0.5000  3 Ni 2.36-2.48, 2 Zn 2.40, 2 H 2.62
Ni 0.6214 0.3699 0.7485  2 H 1.63-1.66
Ni 0.6214 0.8729 0.2515  2 H 1.63-1.66
Ni 0.6301 0.3786 0.2515  2 H 1.63-1.66
H 0.5000 0.5000 0.0000  4 Ni 1.63
H 0.7500 0.2500 0.5000  4 Ni 1.66

relative energy among the computed polymorphs	1.32	eV per formula unit
total energy	-42.9	eV for the cell shown

This record from the Alexandria database describes ZnNi5H7 after structural relaxation. The functional is PBE.

Unit cell a=4.5224 b=4.5224 c=15.0801 alpha=94.02 beta=94.02 gamma=34.78
Last column: nearest neighbours and their distance in Å.
Positions (direct):
Zn 0.1975 0.1975 0.2379  7 H 2.07-2.30
Zn 0.8025 0.8025 0.7621  7 H 2.07-2.30
Ni 0.0000 0.0000 0.0000  6 H 1.68-1.87
Ni 0.0000 0.0000 0.5000  6 H 1.73-1.89
Ni 0.2621 0.2621 0.9212  3 H 1.67-1.78
Ni 0.2862 0.2862 0.5769  6 H 1.74-1.90
Ni 0.4299 0.4299 0.3527  4 H 1.66-1.84
Ni 0.4755 0.4755 0.1547  3 H 1.62-1.67
Ni 0.5245 0.5245 0.8453  3 H 1.62-1.67
Ni 0.5701 0.5701 0.6473  4 H 1.66-1.84
Ni 0.7138 0.7138 0.4231  6 H 1.74-1.90
Ni 0.7379 0.7379 0.0788  3 H 1.67-1.78
H 0.0772 0.0772 0.3971  5 Ni 1.73-1.94
H 0.1098 0.1098 0.0970  3 Ni 1.68-1.78
H 0.1340 0.1340 0.8325  3 Ni 1.67
H 0.1797 0.1797 0.6706  3 Ni 1.67-1.74
H 0.3560 0.3560 0.4640  6 Ni 1.84-1.90
H 0.3711 0.3711 0.0379  6 Ni 1.87-1.93
H 0.4766 0.4766 0.7396  2 Ni 1.62-1.66
H 0.5234 0.5234 0.2604  2 Ni 1.62-1.66
H 0.6289 0.6289 0.9621  6 Ni 1.87-1.93
H 0.6440 0.6440 0.5360  6 Ni 1.84-1.90
H 0.8203 0.8203 0.3294  3 Ni 1.67-1.74
H 0.8660 0.8660 0.1675  3 Ni 1.67
H 0.8902 0.8902 0.9030  3 Ni 1.68-1.78
H 0.9228 0.9228 0.6029  5 Ni 1.73-1.94

total energy	-107.3	eV for the cell shown

This record from the Alexandria database describes ZnNi3H after structural relaxation. The functional is PBE.

Unit cell a=4.6132 b=6.5715 c=6.8844 alpha=90.00 beta=90.00 gamma=90.00
Last column: nearest neighbours and their distance in Å.
Positions (direct):
Zn 0.0000 0.0000 0.0000  6 Ni 2.41-2.50
Zn 0.0000 0.5000 0.0000  6 Ni 2.41-2.50
Zn 0.5000 0.0000 0.5000  6 Ni 2.41-2.50
Zn 0.5000 0.5000 0.5000  6 Ni 2.41-2.50
Ni 0.0346 0.0733 0.3429  1 H 1.76
Ni 0.0346 0.4267 0.3429  1 H 1.76
Ni 0.2186 0.2500 0.6984  1 H 1.64
Ni 0.2814 0.7500 0.1984  1 H 1.64
Ni 0.4654 0.5733 0.8429  1 H 1.76
Ni 0.4654 0.9267 0.8429  1 H 1.76
Ni 0.5346 0.0733 0.1571  1 H 1.76
Ni 0.5346 0.4267 0.1571  1 H 1.76
Ni 0.7186 0.2500 0.8016  1 H 1.64
Ni 0.7814 0.7500 0.3016  1 H 1.64
Ni 0.9654 0.5733 0.6571  1 H 1.76
Ni 0.9654 0.9267 0.6571  1 H 1.76
H 0.0338 0.7500 0.4699  3 Ni 1.64-1.76
H 0.4662 0.2500 0.9699  3 Ni 1.64-1.76
H 0.5338 0.7500 0.0301  3 Ni 1.64-1.76
H 0.9662 0.2500 0.5301  3 Ni 1.64-1.76

relative energy among the computed polymorphs	1.16	eV per formula unit
total energy	-86.5	eV for the cell shown

This record from the Alexandria database describes ZnNi3H after structural relaxation. The functional is PBE.

Unit cell a=4.6196 b=4.6196 c=4.6196 alpha=89.86 beta=89.86 gamma=89.86
Last column: nearest neighbours and their distance in Å.
Positions (direct):
Zn 0.0000 0.0000 0.0000  2 H 2.01
Zn 0.5000 0.5000 0.5000  2 H 2.01
Ni 0.0087 0.7500 0.4913  1 H 1.69
Ni 0.2500 0.5087 0.9913  1 H 1.69
Ni 0.4913 0.0087 0.7500  1 H 1.69
Ni 0.5087 0.9913 0.2500  1 H 1.69
Ni 0.7500 0.4913 0.0087  1 H 1.69
Ni 0.9913 0.2500 0.5087  1 H 1.69
H 0.2500 0.2500 0.2500  3 Ni 1.69
H 0.7500 0.7500 0.7500  3 Ni 1.69

relative energy among the computed polymorphs	1.08	eV per formula unit
total energy	-43.4	eV for the cell shown

This record from the Alexandria database describes ZnNi3H after structural relaxation. The functional is PBE.

Unit cell a=6.7412 b=6.7412 c=6.7412 alpha=60.00 beta=60.00 gamma=60.00
Last column: nearest neighbours and their distance in Å.
Positions (direct):
Zn 0.0000 0.0000 0.0000  6 Ni 2.45
Zn 0.0000 0.0000 0.5000  6 Ni 2.45
Zn 0.0000 0.5000 0.0000  6 Ni 2.45
Zn 0.5000 0.0000 0.0000  6 Ni 2.45
Ni 0.1871 0.1871 0.5629  2 H 1.79
Ni 0.1871 0.5629 0.1871  2 H 1.79
Ni 0.1871 0.5629 0.5629  2 H 1.79
Ni 0.4371 0.4371 0.8129  2 H 1.79
Ni 0.4371 0.8129 0.4371  2 H 1.79
Ni 0.4371 0.8129 0.8129  2 H 1.79
Ni 0.5629 0.1871 0.1871  2 H 1.79
Ni 0.5629 0.1871 0.5629  2 H 1.79
Ni 0.5629 0.5629 0.1871  2 H 1.79
Ni 0.8129 0.4371 0.4371  2 H 1.79
Ni 0.8129 0.4371 0.8129  2 H 1.79
Ni 0.8129 0.8129 0.4371  2 H 1.79
H 0.0000 0.5000 0.5000  6 Ni 1.79
H 0.5000 0.0000 0.5000  6 Ni 1.79
H 0.5000 0.5000 0.0000  6 Ni 1.79
H 0.5000 0.5000 0.5000  6 Ni 1.79

relative energy among the computed polymorphs	0.93	eV per formula unit
total energy	-87.4	eV for the cell shown

This record from the Alexandria database describes ZnNi3H after structural relaxation. The functional is PBE.

Unit cell a=6.8495 b=6.8495 c=3.9804 alpha=90.00 beta=90.00 gamma=120.00
Last column: nearest neighbours and their distance in Å.
Positions (direct):
Zn 0.0000 0.0000 0.0000  2 H 1.92-2.06
Zn 0.3333 0.6667 0.6667  2 H 1.92-2.06
Zn 0.6667 0.3333 0.3333  2 H 1.92-2.06
Ni 0.2005 0.4009 0.1747  1 H 1.58
Ni 0.2005 0.7995 0.1747  1 H 1.58
Ni 0.2657 0.1329 0.5081  1 H 1.58
Ni 0.5338 0.0676 0.8414  1 H 1.58
Ni 0.5338 0.4662 0.8414  1 H 1.58
Ni 0.5991 0.7995 0.1747  1 H 1.58
Ni 0.8671 0.1329 0.5081  1 H 1.58
Ni 0.8671 0.7343 0.5081  1 H 1.58
Ni 0.9324 0.4662 0.8414  1 H 1.58
H 0.0000 0.0000 0.5169  3 Ni 1.58
H 0.3333 0.6667 0.1836  3 Ni 1.58
H 0.6667 0.3333 0.8503  3 Ni 1.58

relative energy among the computed polymorphs	1.94	eV per formula unit
total energy	-62.5	eV for the cell shown

This record from the Alexandria database describes ZnNi3H after structural relaxation. The functional is PBE.

Unit cell a=4.8744 b=4.8744 c=4.8602 alpha=90.00 beta=90.00 gamma=119.50
Last column: nearest neighbours and their distance in Å.
Positions (direct):
Zn 0.0421 0.9579 0.7500  4 Ni 2.40-2.48, 2 Zn 2.53, 2 H 2.60
Zn 0.9579 0.0421 0.2500  4 Ni 2.40-2.48, 2 Zn 2.53, 2 H 2.60
Ni 0.0291 0.4602 0.7500  1 H 1.69
Ni 0.4602 0.0291 0.2500  1 H 1.69
Ni 0.5000 0.5000 0.0000  2 H 1.71
Ni 0.5000 0.5000 0.5000  2 H 1.71
Ni 0.5398 0.9709 0.7500  1 H 1.69
Ni 0.9709 0.5398 0.2500  1 H 1.69
H 0.3565 0.6435 0.2500  4 Ni 1.69-1.71
H 0.6435 0.3565 0.7500  4 Ni 1.69-1.71

relative energy among the computed polymorphs	1.02	eV per formula unit
total energy	-43.5	eV for the cell shown

In Å³/atom, the volume values for the records above are, in order, 9.4 9.8 9.2 10.4 6.7 10.4 9.9 10.8 10.8 10.1.
In μB/f.u., the size of the total moment values for the records above are, in order, 0.00 0.41 1.42 0.23 0.00 0.00 0.00 0.00 0.00 0.00.